## one
Density functional theory data (GGA-PBEsol) for TlNiAs2 after structural relaxation.

Structure (extended XYZ):
```
4
Lattice="3.8425 0.0000 0.0000 0.0000 3.8425 0.0000 0.0000 0.0000 4.9443" Properties=species:S:1:pos:R:3 pbc="T T T"
Tl 0.0000 0.0000 0.0000
Ni 1.9212 1.9212 0.0000
As 0.0000 1.9212 2.4721
As 1.9212 0.0000 2.4721
```

Output
space-group type = P4/mmm (123)

***

## two
Density functional theory data (GGA-PBEsol) for TlNiAs2 after structural relaxation.

Structure (extended XYZ):
```
4
Lattice="3.9252 0.0000 0.0000 0.0000 3.8193 0.0000 -0.2102 0.0000 5.6091" Properties=species:S:1:pos:R:3 pbc="T T T"
Tl 0.0000 0.0000 0.0000
Ni 1.6365 1.9097 4.1800
As 1.8504 0.0000 2.8005
As 3.6390 1.9097 2.8572
```

Output
space-group type = Pm (6)

***

Which of them is the most stable, and which is the least stable? two and one, in that order.

***

## one
Density functional theory data (GGA-PBEsol) for NiAsW after structural relaxation.

Structure (extended XYZ):
```
12
Lattice="5.8016 0.0000 0.0000 0.0000 5.8016 0.0000 0.0000 0.0000 5.8016" Properties=species:S:1:pos:R:3 pbc="T T T"
Ni 0.0000 0.0000 0.0000
Ni 0.0000 2.9008 2.9008
Ni 2.9008 0.0000 2.9008
Ni 2.9008 2.9008 0.0000
As 0.0000 0.0000 2.9008
As 0.0000 2.9008 0.0000
As 2.9008 0.0000 0.0000
As 2.9008 2.9008 2.9008
W 1.4504 1.4504 1.4504
W 1.4504 4.3512 4.3512
W 4.3512 1.4504 4.3512
W 4.3512 4.3512 1.4504
```

Output
space-group type = F-43m (216)

***

## two
Density functional theory data (GGA-PBEsol) for NiAsW after structural relaxation.

Structure (extended XYZ):
```
6
Lattice="2.8637 0.0000 0.0000 0.0000 3.1865 0.0000 0.0000 0.0000 8.8979" Properties=species:S:1:pos:R:3 pbc="T T T"
Ni 0.0000 0.0000 0.0000
Ni 1.4318 1.5932 4.4490
As 0.0000 0.0000 3.1732
As 1.4318 1.5932 7.6222
W 0.0000 0.0000 5.9862
W 1.4318 1.5932 1.5372
```

Output
space-group type = Imm2 (44)

***

Which of them is the most stable, and which is the least stable? two and one, in that order.

***

## one
Density functional theory data (GGA-PBEsol) for PrAsO4 after structural relaxation.

Structure (extended XYZ):
```
12
Lattice="-3.6627 3.6627 3.2441 3.6627 -3.6627 3.2441 3.6627 3.6627 -3.2441" Properties=species:S:1:pos:R:3 pbc="T T T"
Pr 3.6627 1.8313 0.8110
Pr 0.0000 1.8313 2.4331
As 3.6627 -1.8313 2.4331
As 0.0000 5.4940 0.8110
O 3.6627 -0.5210 1.3322
O 3.6627 3.1417 -1.3322
O 1.3104 1.8313 0.2899
O 2.3523 -1.8313 3.5340
O 1.3104 5.4940 -0.2899
O 2.3523 1.8313 2.9542
O 0.0000 0.5210 4.5763
O 0.0000 4.1836 1.9119
```

Output
space-group type = I4_1/amd (141)

***

## two
Density functional theory data (GGA-PBEsol) for PrAsO4 after structural relaxation.

Structure (extended XYZ):
```
12
Lattice="-2.5712 2.5712 5.8208 2.5712 -2.5712 5.8208 2.5712 2.5712 -5.8208" Properties=species:S:1:pos:R:3 pbc="T T T"
Pr 0.0000 1.2856 1.4552
Pr 2.5712 1.2856 4.3656
As 2.5712 1.2856 -1.4552
As 0.0000 1.2856 7.2760
O 3.8404 0.5760 -0.5410
O 3.2807 -0.0163 2.3694
O 0.7096 -0.0163 3.4514
O 1.3019 1.9951 -0.5410
O 1.2693 0.5760 6.3619
O 1.8616 2.5875 2.3694
O -0.7096 2.5875 3.4514
O -1.2693 1.9951 6.3619
```

Output
space-group type = I4_1/a (88)

***

Which of them is the most stable, and which is the least stable? two and one, in that order.

***

## one
Density functional theory data (GGA-PBEsol) for V3As2O9 after structural relaxation.

Structure (extended XYZ):
```
28
Lattice="9.0407 0.0000 0.0000 0.0000 9.0407 0.0000 0.0000 0.0000 4.1153" Properties=species:S:1:pos:R:3 pbc="T T T"
V 0.0000 0.0000 0.0000
V 1.0363 3.4840 3.8760
V 3.4840 8.0044 3.8760
V 4.5204 4.5204 0.0000
V 5.5567 1.0363 3.8760
V 8.0044 5.5567 3.8760
As 1.8278 6.3481 1.2961
As 2.6926 1.8278 1.2961
As 6.3481 7.2130 1.2961
As 7.2130 2.6926 1.2961
O 0.0000 0.0000 2.4920
O 0.8576 5.3779 0.0840
O 1.0925 3.4278 2.2320
O 1.1257 1.6077 0.3436
O 1.6077 7.9150 0.3436
O 2.9127 3.3947 0.3436
O 3.3947 6.1280 0.3436
O 3.4278 7.9482 2.2320
O 3.6628 0.8576 0.0840
O 4.5204 4.5204 2.4920
O 5.3779 8.1832 0.0840
O 5.6129 1.0925 2.2320
O 5.6461 2.9127 0.3436
O 6.1280 5.6461 0.3436
O 7.4331 1.1257 0.3436
O 7.9150 7.4331 0.3436
O 7.9482 5.6129 2.2320
O 8.1832 3.6628 0.0840
```

Output
space-group type = P4bm (100)

***

## two
Density functional theory data (GGA-PBEsol) for V3As2O9 after structural relaxation.

Structure (extended XYZ):
```
14
Lattice="4.3013 -3.1888 0.0000 4.3013 3.1888 0.0000 -1.6356 0.0000 6.0892" Properties=species:S:1:pos:R:3 pbc="T T T"
V 0.0000 0.0000 0.0000
V 3.2031 0.0000 1.2777
V 3.7639 0.0000 4.8116
As 0.4594 0.0000 4.1166
As 6.5076 0.0000 1.9726
O 3.3192 1.9589 1.1889
O 1.4950 0.0000 1.1409
O 3.6478 1.9589 4.9003
O 1.7701 0.0000 5.3194
O 3.4835 0.0000 3.0446
O 5.1969 0.0000 0.7698
O 3.3192 -1.9589 1.1889
O 5.4720 0.0000 4.9483
O 3.6478 -1.9589 4.9003
```

Output
space-group type = C2/m (12)

***

Which of them is the most stable, and which is the least stable? two and one, in that order.

***

## one
Density functional theory data (GGA-PBEsol) for As3Os after structural relaxation.

Structure (extended XYZ):
```
8
Lattice="3.8554 0.0000 0.0000 0.0000 7.6169 0.0000 0.0000 0.0000 4.8107" Properties=species:S:1:pos:R:3 pbc="T T T"
As 0.0000 0.0000 0.0000
As 0.0000 1.4107 2.7936
As 0.0000 6.2062 2.7936
As 1.9277 2.3977 0.3883
As 1.9277 3.8084 2.4054
As 1.9277 5.2192 0.3883
Os 0.0000 3.8084 3.9037
Os 1.9277 0.0000 1.4983
```

Output
space-group type = Imm2 (44)

***

## two
Density functional theory data (GGA-PBEsol) for As3Os after structural relaxation.

Structure (extended XYZ):
```
8
Lattice="5.7330 0.0000 0.0000 0.0000 7.2070 0.0000 0.0000 0.0000 3.1092" Properties=species:S:1:pos:R:3 pbc="T T T"
As 0.0000 0.0000 0.0000
As 1.4332 1.8017 1.5546
As 1.4332 5.4052 1.5546
As 2.8665 3.6035 0.0000
As 4.2997 1.8017 1.5546
As 4.2997 5.4052 1.5546
Os 0.0000 3.6035 0.0000
Os 2.8665 0.0000 0.0000
```

Output
space-group type = Cmmm (65)

***

Which of them is the most stable, and which is the least stable? one and two, in that order.

***

## one
Density functional theory data (GGA-PBEsol) for As3Os after structural relaxation.

Structure (extended XYZ):
```
8
Lattice="5.1460 0.0000 0.0000 0.0000 5.1460 0.0000 0.0000 0.0000 5.1460" Properties=species:S:1:pos:R:3 pbc="T T T"
As 0.0000 0.0000 2.5730
As 0.0000 2.5730 0.0000
As 0.0000 2.5730 2.5730
As 2.5730 0.0000 0.0000
As 2.5730 0.0000 2.5730
As 2.5730 2.5730 0.0000
Os 0.0000 0.0000 0.0000
Os 2.5730 2.5730 2.5730
```

Output
space-group type = Im-3m (229)

***

## two
Density functional theory data (GGA-PBEsol) for As3Os after structural relaxation.

Structure (extended XYZ):
```
4
Lattice="4.8028 0.0000 0.0000 0.0000 4.8028 0.0000 0.0000 0.0000 4.8028" Properties=species:S:1:pos:R:3 pbc="T T T"
As 0.0000 0.0000 2.4014
As 0.0000 2.4014 0.0000
As 2.4014 0.0000 0.0000
Os 0.0000 0.0000 0.0000
```

Output
space-group type = Pm-3m (221)

***

Which of them is the most stable, and which is the least stable? one and two, in that order.